Record 1
Below is a relaxed AcCeAs2 crystal, with properties calculated at the PBE level.

Structure (POSCAR):
```
AcCeAs2
1.0
-1.931 3.852 0.249
-3.695 0.702 -2.116
-5.738 -0.803 5.351
Ac Ce As
1 1 2
Direct
0.497 0.497 0.509 Ac
0.669 0.669 0.993 Ce
0.077 0.077 0.770 As
0.257 0.257 0.228 As
```

Calculated values
energy above the lowest structure with this stoichiometry: 130 meV per atom
raw total energy: -6.1397 eV per atom
DOS at the Fermi energy: 1.402 states/eV/atom
size of the total moment: 0.87 μB/f.u.
formation energy: -1.304 eV per atom
symmetry: R3m (160)

=====

Record 2
Below is a relaxed LaTc2F crystal, with properties calculated at the PBE level.

Structure (POSCAR):
```
LaTc2F
1.0
-2.952 -3.484 -1.377
3.746 -2.720 -1.148
0.478 -5.869 5.562
F Tc La
2 4 2
Direct
0.500 0.500 0.000 F
0.250 0.750 0.500 F
0.397 0.125 0.250 Tc
0.353 0.625 0.250 Tc
0.375 0.603 0.750 Tc
0.875 0.647 0.750 Tc
0.000 0.000 0.000 La
0.750 0.250 0.500 La
```

Calculated values
energy above the lowest structure with this stoichiometry: 0 meV per atom
raw formation energy: 0.174 eV per atom
raw total energy: -6.7086 eV per atom
DOS at the Fermi energy: 1.401 states/eV/atom
size of the total moment: 0.00 μB/f.u.
symmetry: I-42d (122)

=====

Record 3
Below is a relaxed SrTbPd crystal, with properties calculated at the PBE level.

Structure (POSCAR):
```
SrTbPd
1.0
-2.647 -2.426 0.764
1.182 -2.150 -2.730
4.844 -0.858 5.241
Sr Tb Pd
1 1 1
Direct
0.026 0.026 0.053 Sr
0.288 0.288 0.576 Tb
0.686 0.686 0.372 Pd
```

Calculated values
raw total energy: -4.2892 eV per atom
DOS at the Fermi energy: 0.969 states/eV/atom
size of the total moment: 0.00 μB/f.u.
formation energy: -0.454 eV per atom
symmetry: I4mm (107)

=====

Record 4
Below is a relaxed Cs2KPdI crystal, with properties calculated at the PBE level.

Structure (POSCAR):
```
Cs2KPdI
1.0
6.720 0.000 0.000
0.000 6.720 0.000
0.000 0.000 6.137
Cs I K Pd
2 1 1 1
Direct
0.000 0.500 0.000 Cs
0.500 0.000 0.000 Cs
0.500 0.500 0.500 I
0.000 0.000 0.500 K
0.000 0.000 0.000 Pd
```

Calculated values
raw formation energy: -0.502 eV per atom
raw total energy: -2.4119 eV per atom
DOS at the Fermi energy: 0.023 states/eV/atom
size of the total moment: 0.00 μB/f.u.
symmetry: P4/mmm (123)

=====

Record 5
Below is a relaxed KInRu3 crystal, with properties calculated at the PBE level.

Structure (POSCAR):
```
KInRu3
1.0
-0.252 3.224 3.897
2.788 -3.167 2.800
4.220 2.285 -1.618
Ru K In
3 1 1
Direct
0.000 0.500 0.000 Ru
0.000 0.000 0.500 Ru
0.500 0.000 0.000 Ru
0.500 0.500 0.500 K
0.000 0.000 0.000 In
```

Calculated values
energy above the lowest structure with this stoichiometry: 0 meV per atom
raw total energy: -4.5155 eV per atom
DOS at the Fermi energy: 1.451 states/eV/atom
size of the total moment: 5.60 μB/f.u.
formation energy: 1.817 eV per atom
symmetry: Pm-3m (221)

=====

Record 6
Below is a relaxed Ho2PtCl2 crystal, with properties calculated at the PBE level.

Structure (POSCAR):
```
Ho2PtCl2
1.0
-3.168 1.060 -2.015
-3.397 0.532 1.843
0.427 11.009 1.344
Ho Pt Cl
2 1 2
Direct
0.723 0.209 0.345 Ho
0.277 0.791 0.655 Ho
0.000 0.500 0.500 Pt
0.448 0.918 0.186 Cl
0.552 0.082 0.814 Cl
```

Calculated values
raw formation energy: -1.698 eV per atom
raw total energy: -5.4758 eV per atom
DOS at the Fermi energy: 0.332 states/eV/atom
size of the total moment: 0.00 μB/f.u.
symmetry: C2/m (12)